Model i:
Ba2LiSn2 | PBE | relaxed

Geometry as POSCAR:
```
Ba2LiSn2
1.0
-2.2204 2.2204 10.5031
2.2204 -2.2204 10.5031
2.2204 2.2204 -10.5031
Ba Li Sn
2 1 2
direct
0.1140 0.1140 0.0000
0.8860 0.8860 0.0000
0.5000 0.5000 0.0000
0.2500 0.7500 0.5000
0.7500 0.2500 0.5000
```

Model ii:
Ba2LiSn2 | PBE | relaxed

Geometry as POSCAR:
```
Ba2LiSn2
1.0
6.1041 -2.6220 0.0000
6.1041 2.6220 0.0000
-6.0900 0.0000 11.0556
Ba Li Sn
4 2 4
direct
0.0227 0.0227 0.3338
0.1912 0.1912 0.1050
0.8088 0.8088 0.8950
0.9773 0.9773 0.6662
0.2723 0.2723 0.6372
0.7277 0.7277 0.3628
0.3635 0.3635 0.4357
0.4927 0.4927 0.1146
0.5073 0.5073 0.8854
0.6365 0.6365 0.5643
```

Model iii:
Ba2LiSn2 | PBE | relaxed

Geometry as POSCAR:
```
Ba2LiSn2
1.0
7.5155 -2.3953 0.0000
7.5155 2.3953 0.0000
-0.4772 0.0000 9.8965
Ba Li Sn
4 2 4
direct
0.0175 0.0175 0.2456
0.2276 0.2276 0.6944
0.7724 0.7724 0.3056
0.9825 0.9825 0.7544
0.2008 0.2008 0.0300
0.7992 0.7992 0.9700
0.3946 0.3946 0.0068
0.4074 0.4074 0.4872
0.5926 0.5926 0.5128
0.6054 0.6054 0.9932
```

On energetic grounds, model ii is preferred over the next structure by 0.101 eV/atom.

Model i:
Ba3LiSn | PBE | relaxed

Geometry as POSCAR:
```
Ba3LiSn
1.0
6.7923 0.0000 0.0000
0.0000 6.7923 0.0000
0.0000 0.0000 6.7923
Ba Li Sn
3 1 1
direct
0.0000 0.0000 0.5000
0.0000 0.5000 0.0000
0.5000 0.0000 0.0000
0.5000 0.5000 0.5000
0.0000 0.0000 0.0000
```

Model ii:
Ba3LiSn | PBE | relaxed

Geometry as POSCAR:
```
Ba3LiSn
1.0
4.3473 0.0000 0.0000
2.1713 9.6300 0.0000
0.0087 1.0407 10.9196
Ba Li Sn
6 2 2
direct
0.0452 0.4097 0.1646
0.2435 0.0128 0.8333
0.4047 0.6912 0.4032
0.5953 0.3088 0.5968
0.7565 0.9872 0.1667
0.9548 0.5903 0.8354
0.2097 0.0810 0.4361
0.7903 0.9190 0.5639
0.3911 0.7190 0.0748
0.6089 0.2810 0.9252
```

On energetic grounds, model ii is preferred over the next structure by 0.140 eV/atom.

Model i:
BaSrLi2 | PBE | relaxed

Geometry as POSCAR:
```
BaSrLi2
1.0
6.7250 -2.0635 0.0000
6.7250 2.0635 0.0000
-2.3199 0.0000 5.7354
Ba Sr Li
1 1 2
direct
0.0000 0.0000 0.0000
0.7940 0.7940 0.3317
0.2347 0.2347 0.7751
0.5589 0.5589 0.5481
```

Model ii:
BaSrLi2 | PBE | relaxed

Geometry as POSCAR:
```
BaSrLi2
1.0
6.2096 0.0000 0.0000
0.0000 4.1192 0.0000
-2.8331 0.0000 6.6639
Ba Sr Li
1 1 2
direct
0.0000 0.0000 0.0000
0.0000 0.5000 0.5000
0.5000 0.0000 0.5000
0.5000 0.5000 0.0000
```

On energetic grounds, model i is preferred over the next structure by 0.120 eV/atom.

Model i:
Ba2Sr2Li | PBE | relaxed

Geometry as POSCAR:
```
Ba2Sr2Li
1.0
9.0029 0.0000 0.0000
0.0000 9.0029 0.0000
0.0000 0.0000 6.7482
Ba Sr Li
4 4 2
direct
0.1529 0.3471 0.0000
0.3471 0.8471 0.0000
0.6529 0.1529 0.0000
0.8471 0.6529 0.0000
0.1676 0.6676 0.5000
0.3324 0.1676 0.5000
0.6676 0.8324 0.5000
0.8324 0.3324 0.5000
0.0000 0.0000 0.0000
0.5000 0.5000 0.0000
```

Model ii:
Ba2Sr2Li | PBE | relaxed

Geometry as POSCAR:
```
Ba2Sr2Li
1.0
-2.5480 2.5480 11.2496
2.5480 -2.5480 11.2496
2.5480 2.5480 -11.2496
Ba Sr Li
2 2 1
direct
0.0916 0.0916 0.0000
0.9084 0.9084 0.0000
0.2500 0.7500 0.5000
0.7500 0.2500 0.5000
0.5000 0.5000 0.0000
```

Model iii:
Ba2Sr2Li | PBE | relaxed

Geometry as POSCAR:
```
Ba2Sr2Li
1.0
8.9191 0.0000 0.0000
0.0000 8.9191 0.0000
0.0000 0.0000 6.8421
Ba Sr Li
4 4 2
direct
0.1715 0.3285 0.0000
0.3285 0.8285 0.0000
0.6715 0.1715 0.0000
0.8285 0.6715 0.0000
0.1541 0.6541 0.5000
0.3459 0.1541 0.5000
0.6541 0.8459 0.5000
0.8459 0.3459 0.5000
0.0000 0.0000 0.5000
0.5000 0.5000 0.5000
```

Model iv:
Ba2Sr2Li | PBE | relaxed

Geometry as POSCAR:
```
Ba2Sr2Li
1.0
-2.5704 2.5704 10.8668
2.5704 -2.5704 10.8668
2.5704 2.5704 -10.8668
Ba Sr Li
2 2 1
direct
0.2500 0.7500 0.5000
0.7500 0.2500 0.5000
0.0908 0.0908 0.0000
0.9092 0.9092 0.0000
0.5000 0.5000 0.0000
```

On energetic grounds, model iii is preferred over the next structure by 0.053 eV/atom.

Model i:
Ba12Sr7Li | PBE | relaxed

Geometry as POSCAR:
```
Ba12Sr7Li
1.0
9.6862 5.5923 3.6611
-9.6862 5.5923 3.6611
0.0000 -11.1846 3.6611
Ba Sr Li
12 7 1
direct
0.0725 0.3780 0.5843
0.1001 0.7350 0.1580
0.1580 0.1001 0.7350
0.2650 0.8420 0.8999
0.3780 0.5843 0.0725
0.4157 0.9275 0.6220
0.5843 0.0725 0.3780
0.6220 0.4157 0.9275
0.7350 0.1580 0.1001
0.8420 0.8999 0.2650
0.8999 0.2650 0.8420
0.9275 0.6220 0.4157
0.0000 0.0000 0.0000
0.1931 0.4623 0.3040
0.3040 0.1931 0.4623
0.4623 0.3040 0.1931
0.5377 0.6960 0.8069
0.6960 0.8069 0.5377
0.8069 0.5377 0.6960
0.5000 0.5000 0.5000
```

Model ii:
Ba12Sr7Li | PBE | relaxed

Geometry as POSCAR:
```
Ba12Sr7Li
1.0
-7.4208 7.4208 7.4208
7.4208 -7.4208 7.4208
7.4208 7.4208 -7.4208
Ba Sr Li
12 7 1
direct
0.1027 0.7544 0.3482
0.2456 0.3482 0.5938
0.2456 0.6518 0.8973
0.3482 0.1027 0.7544
0.3482 0.5938 0.2456
0.4062 0.7544 0.6518
0.5938 0.2456 0.3482
0.6518 0.4062 0.7544
0.6518 0.8973 0.2456
0.7544 0.3482 0.1027
0.7544 0.6518 0.4062
0.8973 0.2456 0.6518
0.0000 0.0000 0.5000
0.0000 0.5000 0.0000
0.0000 0.5000 0.5000
0.5000 0.0000 0.0000
0.5000 0.0000 0.5000
0.5000 0.5000 0.0000
0.5000 0.5000 0.5000
0.0000 0.0000 0.0000
```

On energetic grounds, model i is preferred over the next structure by 0.434 eV/atom.

Model i:
Ba4Sr2Li | PBE | relaxed

Geometry as POSCAR:
```
Ba4Sr2Li
1.0
-3.2137 3.2137 10.6790
3.2137 -3.2137 10.6790
3.2137 3.2137 -10.6790
Ba Sr Li
4 2 1
direct
0.0000 0.5000 0.5000
0.1686 0.1686 0.0000
0.5000 0.0000 0.5000
0.8314 0.8314 0.0000
0.3683 0.3683 0.0000
0.6317 0.6317 0.0000
0.0000 0.0000 0.0000
```

Model ii:
Ba4Sr2Li | PBE | relaxed

Geometry as POSCAR:
```
Ba4Sr2Li
1.0
3.5773 -13.3910 0.0000
3.5773 13.3910 0.0000
0.0000 0.0000 4.1220
Ba Sr Li
4 2 1
direct
0.0739 0.9261 0.0000
0.3733 0.6267 0.5000
0.6267 0.3733 0.5000
0.9261 0.0739 0.0000
0.2142 0.7858 0.5000
0.7858 0.2142 0.5000
0.5000 0.5000 0.0000
```

On energetic grounds, model ii is preferred over the next structure by 0.078 eV/atom.